{"formula": "Be2BiF6", "functional": "PBE", "state": "optimized geometry", "cell": [[-3.602, -1.292, -3.708], [-5.148, -0.422, 4.988], [-2.524, 6.722, -0.051]], "species": ["Be", "Be", "Be", "Be", "Bi", "Bi", "F", "F", "F", "F", "F", "F", "F", "F", "F", "F", "F", "F"], "fractional_positions": [[0.257, 0.616, 0.769], [0.243, 0.231, 0.384], [0.743, 0.384, 0.231], [0.757, 0.769, 0.616], [0.250, 0.086, 0.914], [0.750, 0.914, 0.086], [0.512, 0.644, 0.651], [0.988, 0.349, 0.356], [0.488, 0.356, 0.349], [0.012, 0.651, 0.644], [0.751, 0.882, 0.407], [0.749, 0.593, 0.118], [0.249, 0.118, 0.593], [0.251, 0.407, 0.882], [0.252, 0.756, 0.911], [0.248, 0.089, 0.244], [0.748, 0.244, 0.089], [0.752, 0.911, 0.756]], "final_energy_ev_per_cell": -95.8}

=====

{"formula": "Ba2NaSrAu4", "functional": "PBE", "state": "optimized geometry", "cell": [[5.550, 0.000, 0.000], [2.775, 4.806, 0.000], [2.775, 1.602, 9.069]], "species": ["Ba", "Ba", "Na", "Sr", "Au", "Au", "Au", "Au"], "fractional_positions": [[0.744, 0.744, 0.767], [0.256, 0.256, 0.233], [0.000, 0.000, 0.000], [0.500, 0.500, 0.500], [0.380, 0.380, 0.861], [0.869, 0.869, 0.392], [0.131, 0.131, 0.608], [0.620, 0.620, 0.139]], "delta_e_f_mev_per_atom": -616, "dos_ef_per_ev_fu": 6.6}

=====

{"formula": "TmInCo2", "functional": "PBE", "state": "optimized geometry", "cell": [[-1.665, -2.174, 1.957], [3.183, 0.266, 3.005], [-2.096, 3.337, 1.924]], "species": ["Tm", "Co", "Co", "In"], "fractional_positions": [[0.500, 0.000, 0.000], [0.000, 0.000, 0.500], [0.000, 0.500, 0.000], [0.500, 0.500, 0.500]], "delta_e_f_mev_per_atom": -120, "dos_ef_per_ev_fu": 0.7}